Entry 1:
A geometry-optimized Be2AgBr structure, computed with PBE.

Geometry as POSCAR:
```
Be2AgBr
1.0
4.131 -1.582 0.000
4.131 1.582 0.000
-3.757 0.000 5.478
Be Ag Br
2 1 1
Cartesian
-0.115 0.000 1.984 Be
4.620 0.000 3.494 Be
2.252 0.000 2.739 Ag
4.131 0.000 0.000 Br
```

Properties
D(E_F)   1.2 states/eV per cell
Magnetization   0.000 μB/f.u.
Formation energy without anion corrections   0.27 eV per atom
Space-group type   C2/m

---

Entry 2:
A geometry-optimized Tb3Mg2Sn structure, computed with PBE.

Geometry as POSCAR:
```
Tb3Mg2Sn
1.0
2.567 -7.819 0.000
2.567 7.819 0.000
0.000 0.000 4.033
Tb Mg Sn
3 2 1
Cartesian
0.000 0.000 0.000 Tb
2.567 2.571 0.000 Tb
2.567 -2.571 0.000 Tb
2.567 5.111 2.017 Mg
2.567 -5.111 2.017 Mg
2.567 0.000 2.017 Sn
```

Properties
D(E_F)   5.2 states/eV per cell
Magnetization   0.000 μB/f.u.
Formation enthalpy at 0 K   -0.322 eV per atom
Space-group type   Cmmm

---

Entry 3:
A geometry-optimized Zn2AsSe structure, computed with PBE.

Geometry as POSCAR:
```
Zn2AsSe
1.0
3.542 0.000 0.000
0.000 3.553 0.000
0.000 0.000 7.177
Zn As Se
2 1 1
Cartesian
0.000 0.000 0.000 Zn
1.771 1.776 1.730 Zn
0.000 0.000 2.611 As
1.771 1.776 6.337 Se
```

Properties
D(E_F)   1.3 states/eV per cell
Magnetization   0.000 μB/f.u.
Formation energy without anion corrections   -0.11 eV per atom
Space-group type   Pmm2

---

Entry 4:
A geometry-optimized K2NiHg2 structure, computed with PBE.

Geometry as POSCAR:
```
K2NiHg2
1.0
7.198 0.000 0.000
0.000 7.198 0.000
0.000 0.000 5.719
K Ni Hg
4 2 4
Cartesian
1.240 2.359 0.000 K
2.359 5.958 0.000 K
4.839 1.240 0.000 K
5.958 4.839 0.000 K
0.000 0.000 2.860 Ni
3.599 3.599 2.860 Ni
1.199 4.799 2.860 Hg
2.400 1.199 2.860 Hg
4.799 5.999 2.860 Hg
5.999 2.400 2.860 Hg
```

Properties
D(E_F)   4.7 states/eV per cell
Magnetization   0.000 μB/f.u.
Formation enthalpy at 0 K   0.084 eV per atom
Space-group type   P4/mbm

---

Entry 5:
A geometry-optimized Sr2GdCu3Pb2O8 structure, computed with PBE.

Geometry as POSCAR:
```
Sr2GdCu3Pb2O8
1.0
3.848 0.000 0.000
0.000 3.848 0.000
0.000 0.000 16.023
Sr Gd Cu Pb O
2 1 3 2 8
Cartesian
0.000 0.000 3.555 Sr
0.000 0.000 12.468 Sr
0.000 0.000 0.000 Gd
0.000 0.000 8.011 Cu
1.924 1.924 1.693 Cu
1.924 1.924 14.330 Cu
1.924 1.924 6.214 Pb
1.924 1.924 9.809 Pb
0.000 0.000 6.151 O
0.000 0.000 9.872 O
0.000 1.924 1.500 O
0.000 1.924 14.523 O
1.924 0.000 1.500 O
1.924 0.000 14.523 O
1.924 1.924 4.032 O
1.924 1.924 11.991 O
```

Properties
D(E_F)   2.3 states/eV per cell
Magnetization   6.825 μB/f.u.
Formation energy without anion corrections   -1.70 eV per atom
Space-group type   P4/mmm

---

Entry 6:
A geometry-optimized Pr2S2Br structure, computed with PBE.

Geometry as POSCAR:
```
Pr2S2Br
1.0
4.430 -2.555 0.000
4.430 2.555 0.000
-0.006 0.000 5.793
Pr S Br
2 2 1
Cartesian
1.476 0.000 1.358 Pr
7.377 0.000 4.435 Pr
1.471 0.000 4.188 S
7.383 0.000 1.605 S
4.430 0.000 0.000 Br
```

Properties
D(E_F)   1.6 states/eV per cell
Magnetization   0.000 μB/f.u.
Formation energy without anion corrections   -1.89 eV per atom
Space-group type   C2/m

---

Entry 7:
A geometry-optimized VIn2Ag structure, computed with PBE.

Geometry as POSCAR:
```
VIn2Ag
1.0
-3.821 3.821 2.997
3.821 -3.821 2.997
3.821 3.821 -2.997
V In Ag
2 4 2
Cartesian
0.000 0.000 0.000 V
0.000 3.821 1.499 V
1.911 -1.865 2.248 In
1.956 1.911 0.749 In
1.911 5.686 -0.749 In
1.865 1.911 3.746 In
3.821 0.000 1.499 Ag
0.000 0.000 2.997 Ag
```

Properties
D(E_F)   6.6 states/eV per cell
Magnetization   2.544 μB/f.u.
Formation enthalpy at 0 K   0.477 eV per atom
Space-group type   I-42d

---

Entry 8:
A geometry-optimized Sr2CoRe structure, computed with PBE.

Geometry as POSCAR:
```
Sr2CoRe
1.0
3.264 0.000 0.000
0.000 3.667 0.000
-0.580 0.000 8.956
Sr Co Re
2 1 1
Cartesian
0.000 0.000 0.000 Sr
0.868 1.834 5.225 Sr
1.275 1.834 2.277 Co
2.515 0.000 2.878 Re
```

Properties
D(E_F)   4.5 states/eV per cell
Magnetization   0.000 μB/f.u.
Formation enthalpy at 0 K   0.591 eV per atom
Space-group type   Pm

---

Entry 9:
A geometry-optimized Li2Mg3Cd2 structure, computed with PBE.

Geometry as POSCAR:
```
Li2Mg3Cd2
1.0
4.956 -2.300 0.000
4.956 2.300 0.000
-0.248 0.000 6.314
Li Mg Cd
2 3 2
Cartesian
0.765 0.000 1.255 Li
8.898 0.000 5.059 Li
1.845 0.000 4.092 Mg
4.832 0.000 3.157 Mg
7.818 0.000 2.222 Mg
3.541 0.000 0.405 Cd
6.122 0.000 5.909 Cd
```

Properties
D(E_F)   2.4 states/eV per cell
Magnetization   0.000 μB/f.u.
Formation enthalpy at 0 K   -0.125 eV per atom
Space-group type   C2/m

---

Entry 10:
A geometry-optimized Ce3ZnHg structure, computed with PBE.

Geometry as POSCAR:
```
Ce3ZnHg
1.0
9.694 -2.482 0.000
9.694 2.482 0.000
-0.068 0.000 5.114
Ce Zn Hg
6 2 2
Cartesian
1.362 0.000 1.519 Ce
2.958 0.000 3.724 Ce
6.767 0.000 3.896 Ce
12.552 0.000 1.219 Ce
16.361 0.000 1.391 Ce
17.957 0.000 3.596 Ce
4.730 0.000 1.220 Zn
14.589 0.000 3.894 Zn
8.835 0.000 1.276 Hg
10.484 0.000 3.838 Hg
```

Properties
D(E_F)   22.1 states/eV per cell
Magnetization   1.065 μB/f.u.
Formation enthalpy at 0 K   -0.172 eV per atom
Space-group type   C2/m

---

Entry 11:
A geometry-optimized GeBi2RuF structure, computed with PBE.

Geometry as POSCAR:
```
GeBi2RuF
1.0
5.354 0.000 0.000
0.000 5.354 0.000
0.000 0.000 4.705
Ge Bi Ru F
1 2 1 1
Cartesian
0.000 0.000 0.000 Ge
0.000 2.677 2.352 Bi
2.677 0.000 2.352 Bi
0.000 0.000 2.352 Ru
2.677 2.677 0.000 F
```

Properties
D(E_F)   6.6 states/eV per cell
Magnetization   0.000 μB/f.u.
Formation energy without anion corrections   0.03 eV per atom
Space-group type   P4/mmm

---

Entry 12:
A geometry-optimized La5Tb2Er12 structure, computed with PBE.

Geometry as POSCAR:
```
La5Tb2Er12
1.0
6.300 0.000 0.000
0.409 9.046 0.000
1.513 0.450 10.904
La Tb Er
5 2 12
Cartesian
0.000 0.000 0.000 La
1.701 9.083 3.753 La
3.350 5.408 10.274 La
4.872 4.088 0.631 La
6.521 0.412 7.151 La
3.600 4.624 3.775 Tb
4.622 4.872 7.130 Tb
1.378 3.447 8.353 Er
1.562 6.230 5.999 Er
1.545 2.733 1.754 Er
3.714 8.107 8.123 Er
3.426 1.853 6.057 Er
4.556 2.010 9.637 Er
3.666 7.486 1.267 Er
4.796 7.643 4.848 Er
4.508 1.389 2.781 Er
6.677 6.763 9.150 Er
6.660 3.266 4.906 Er
6.844 6.049 2.551 Er
```

Properties
D(E_F)   29.7 states/eV per cell
Magnetization   0.000 μB/f.u.
Formation enthalpy at 0 K   0.066 eV per atom
Space-group type   P-1

---

Entry 13:
A geometry-optimized CsMnPPd2 structure, computed with PBE.

Geometry as POSCAR:
```
CsMnPPd2
1.0
4.607 0.000 0.000
0.000 4.607 0.000
0.000 0.000 6.353
Cs Mn P Pd
1 1 1 2
Cartesian
0.000 0.000 0.000 Cs
2.304 2.304 0.000 Mn
0.000 0.000 3.177 P
0.000 2.304 3.177 Pd
2.304 0.000 3.177 Pd
```

Properties
D(E_F)   6.2 states/eV per cell
Magnetization   4.642 μB/f.u.
Formation enthalpy at 0 K   0.636 eV per atom
Space-group type   P4/mmm

---

Entry 14:
A geometry-optimized TlSb2Pb6 structure, computed with PBE.

Geometry as POSCAR:
```
TlSb2Pb6
1.0
10.404 0.000 0.000
0.000 10.404 0.000
0.000 0.000 5.121
Tl Sb Pb
2 4 12
Cartesian
0.000 0.000 0.000 Tl
5.202 5.202 2.560 Tl
1.782 1.782 2.560 Sb
3.420 6.984 0.000 Sb
6.984 3.420 0.000 Sb
8.622 8.622 2.560 Sb
0.021 6.963 0.000 Pb
1.721 8.683 2.560 Pb
1.760 5.181 2.560 Pb
3.442 10.383 0.000 Pb
3.481 3.481 0.000 Pb
5.181 1.760 2.560 Pb
5.223 8.644 2.560 Pb
6.924 6.924 0.000 Pb
6.963 0.021 0.000 Pb
8.644 5.223 2.560 Pb
8.683 1.721 2.560 Pb
10.383 3.442 0.000 Pb
```

Properties
D(E_F)   9.1 states/eV per cell
Magnetization   0.000 μB/f.u.
Formation energy without anion corrections   0.04 eV per atom
Space-group type   P4_2/mnm

---

Entry 15:
A geometry-optimized Be2AsPd2 structure, computed with PBE.

Geometry as POSCAR:
```
Be2AsPd2
1.0
6.405 0.000 0.000
0.000 6.405 0.000
0.000 0.000 3.153
Be As Pd
4 2 4
Cartesian
0.801 2.402 0.000 Be
2.402 5.604 0.000 Be
4.003 0.801 0.000 Be
5.604 4.003 0.000 Be
0.000 0.000 0.000 As
3.202 3.202 0.000 As
1.015 4.218 1.576 Pd
2.187 1.015 1.576 Pd
4.218 5.389 1.576 Pd
5.389 2.187 1.576 Pd
```

Properties
D(E_F)   3.8 states/eV per cell
Magnetization   0.000 μB/f.u.
Formation enthalpy at 0 K   -0.275 eV per atom
Space-group type   P4/mbm

---

Entry 16:
A geometry-optimized KSbPO6 structure, computed with PBE.

Geometry as POSCAR:
```
KSbPO6
1.0
5.002 0.000 0.000
-2.501 4.332 0.000
0.000 0.000 6.068
K Sb P O
1 1 1 6
Cartesian
0.000 0.000 0.000 K
0.000 2.888 3.034 Sb
2.501 1.444 3.034 P
1.892 0.188 4.053 O
1.109 1.544 2.016 O
3.110 0.188 2.016 O
1.718 2.599 4.053 O
3.893 1.544 4.053 O
3.284 2.599 2.016 O
```

Properties
D(E_F)   7.2 states/eV per cell
Magnetization   1.062 μB/f.u.
Formation energy without anion corrections   -1.52 eV per atom
Space-group type   P312

---

Entry 17:
A geometry-optimized BaMgCuSn2 structure, computed with PBE.

Geometry as POSCAR:
```
BaMgCuSn2
1.0
-2.378 2.378 5.990
2.378 -2.378 5.990
2.378 2.378 -5.990
Ba Mg Cu Sn
1 1 1 2
Cartesian
0.000 0.000 0.000 Ba
0.000 2.378 2.995 Mg
2.378 0.000 2.995 Cu
0.000 0.000 4.511 Sn
0.000 0.000 7.468 Sn
```

Properties
D(E_F)   1.8 states/eV per cell
Magnetization   0.000 μB/f.u.
Formation enthalpy at 0 K   -0.376 eV per atom
Space-group type   I-4m2

---

Entry 18:
A geometry-optimized TePb2Se structure, computed with PBE.

Geometry as POSCAR:
```
TePb2Se
1.0
-3.536 3.536 7.144
3.536 -3.536 7.144
3.536 3.536 -7.144
Te Pb Se
2 4 2
Cartesian
0.000 0.000 0.000 Te
0.000 3.536 3.572 Te
1.768 -1.606 5.358 Pb
1.930 1.768 1.786 Pb
1.768 5.142 -1.786 Pb
1.606 1.768 8.930 Pb
3.536 0.000 3.572 Se
0.000 0.000 7.144 Se
```

Properties
D(E_F)   0.0 states/eV per cell
Magnetization   0.000 μB/f.u.
Formation energy without anion corrections   -0.30 eV per atom
Space-group type   I-42d

---

Entry 19:
A geometry-optimized Sn2AuBr structure, computed with PBE.

Geometry as POSCAR:
```
Sn2AuBr
1.0
-3.248 3.248 6.799
3.248 -3.248 6.799
3.248 3.248 -6.799
Sn Au Br
4 2 2
Cartesian
4.872 1.235 -1.700 Sn
1.235 1.624 1.700 Sn
-1.624 2.013 5.099 Sn
2.013 1.624 8.499 Sn
0.000 0.000 0.000 Au
0.000 3.248 3.399 Au
3.248 0.000 3.399 Br
0.000 0.000 6.799 Br
```

Properties
D(E_F)   0.4 states/eV per cell
Magnetization   0.000 μB/f.u.
Formation energy without anion corrections   -0.05 eV per atom
Space-group type   I-42d

---

Entry 20:
A geometry-optimized CeHoZr structure, computed with PBE.

Geometry as POSCAR:
```
CeHoZr
1.0
5.256 0.000 0.000
-2.628 4.552 0.000
0.000 0.000 3.399
Ce Ho Zr
1 1 1
Cartesian
0.000 0.000 0.000 Ce
2.628 1.517 1.699 Ho
0.000 3.035 0.000 Zr
```

Properties
D(E_F)   5.0 states/eV per cell
Magnetization   0.000 μB/f.u.
Formation enthalpy at 0 K   0.084 eV per atom
Space-group type   P-6m2

---

Entry 21:
A geometry-optimized K2Rb2AuO structure, computed with PBE.

Geometry as POSCAR:
```
K2Rb2AuO
1.0
-4.109 8.489 3.701
4.109 -8.489 3.701
4.109 8.489 -3.701
K Rb Au O
4 4 2 2
Cartesian
1.371 1.164 0.000 K
1.371 -1.164 3.701 K
2.738 9.654 0.000 K
2.738 7.325 3.701 K
6.159 2.126 0.000 Rb
2.050 6.363 0.000 Rb
2.059 2.126 3.701 Rb
-2.050 6.363 3.701 Rb
4.109 0.000 1.851 Au
0.000 8.489 1.851 Au
0.000 0.000 1.851 O
0.000 0.000 5.552 O
```

Properties
D(E_F)   2.5 states/eV per cell
Magnetization   0.000 μB/f.u.
Formation energy without anion corrections   -0.52 eV per atom
Space-group type   Ibam

---

Entry 22:
A geometry-optimized SrPr structure, computed with PBE.

Geometry as POSCAR:
```
SrPr
1.0
3.950 0.000 0.000
-1.975 3.421 0.000
0.000 0.000 12.947
Sr Pr
2 2
Cartesian
0.000 2.281 1.789 Sr
1.975 1.140 11.158 Sr
0.000 2.281 7.876 Pr
1.975 1.140 5.071 Pr
```

Properties
D(E_F)   4.8 states/eV per cell
Magnetization   0.000 μB/f.u.
Formation enthalpy at 0 K   0.084 eV per atom
Space-group type   P-3m1

---

Entry 23:
A geometry-optimized Na2PrHgF8 structure, computed with PBE.

Geometry as POSCAR:
```
Na2PrHgF8
1.0
3.990 0.000 0.000
0.275 5.568 0.000
0.009 0.277 7.989
Na Pr Hg F
2 1 1 8
Cartesian
0.152 2.822 1.966 Na
4.122 3.023 6.023 Na
1.999 0.139 3.995 Pr
1.995 0.000 0.000 Hg
0.228 4.372 3.798 F
0.328 1.323 0.079 F
2.060 4.445 1.846 F
2.104 4.297 5.864 F
2.169 1.548 2.125 F
2.214 1.400 6.143 F
3.945 4.522 7.910 F
4.046 1.473 4.191 F
```

Properties
D(E_F)   0.4 states/eV per cell
Magnetization   1.045 μB/f.u.
Formation energy without anion corrections   -2.65 eV per atom
Space-group type   P-1

---

Entry 24:
A geometry-optimized Pm3AlNi8 structure, computed with PBE.

Geometry as POSCAR:
```
Pm3AlNi8
1.0
2.527 1.459 8.259
-2.527 1.459 8.259
0.000 -2.918 8.259
Pm Al Ni
3 1 8
Cartesian
0.000 0.000 0.000 Pm
0.000 0.000 3.173 Pm
0.000 0.000 15.245 Pm
0.000 0.000 12.171 Al
0.000 -1.466 5.587 Ni
-1.270 0.733 5.587 Ni
-1.248 -0.720 9.838 Ni
0.000 0.000 7.717 Ni
1.270 0.733 5.587 Ni
1.248 -0.720 9.838 Ni
0.000 1.441 9.838 Ni
0.000 0.000 20.112 Ni
```

Properties
D(E_F)   9.1 states/eV per cell
Magnetization   0.000 μB/f.u.
Formation enthalpy at 0 K   -0.358 eV per atom
Space-group type   R3m